The following is a meta-GGA SCAN calculation of a PBEsol-optimized structure of Mg2FeRe, from the Alexandria database.

Unit cell a=2.6474 b=2.6474 c=8.8601 alpha=90.00 beta=90.00 gamma=104.27
Closest atoms and distances in Å follow each position.
Sites, in units of the cell vectors:
1 Mg 0.0000 0.0000 0.2406  4 Mg 2.65, 2 Fe 2.68, 2 Re 2.81
2 Mg 0.0000 0.0000 0.7594  4 Mg 2.65, 2 Fe 2.68, 2 Re 2.81
3 Fe 0.5000 0.5000 0.0000  4 Fe 2.65, 4 Mg 2.68
4 Re 0.5000 0.5000 0.5000  4 Re 2.65, 4 Mg 2.81

Summary:
energy of formation from the pure elements: 0.237 eV/atom
energy above the most stable polymorph in this dataset: 0 meV per atom
energy: -0.90244 Ha/atom



The following is a meta-GGA SCAN calculation of a PBEsol-optimized structure of CaCoHg3, from the Alexandria database.

Unit cell a=4.9107 b=4.9107 c=4.9107 alpha=90.00 beta=90.00 gamma=90.00
Closest atoms and distances in Å follow each position.
Sites, in units of the cell vectors:
1 Ca 0.0000 0.0000 0.0000  12 Hg 3.47
2 Co 0.5000 0.5000 0.5000  6 Hg 2.46
3 Hg 0.0000 0.5000 0.5000  2 Co 2.46
4 Hg 0.5000 0.0000 0.5000  2 Co 2.46
5 Hg 0.5000 0.5000 0.0000  2 Co 2.46

Summary:
energy of formation from the pure elements: -0.041 eV/atom
energy: -1.70274 Ha/atom



The following is a meta-GGA SCAN calculation of a PBEsol-optimized structure of KAsSe2I, from the Alexandria database.

Unit cell a=5.7782 b=5.7782 c=6.1154 alpha=90.00 beta=90.00 gamma=90.00
Closest atoms and distances in Å follow each position.
Sites, in units of the cell vectors:
1 K 0.0000 0.0000 0.0000  4 Se 2.89, 2 As 3.06
2 As 0.0000 0.0000 0.5000  2 K 3.06
3 Se 0.0000 0.5000 0.0000  2 K 2.89
4 Se 0.5000 0.0000 0.0000  2 K 2.89
5 I 0.5000 0.5000 0.5000  4 As 4.09, 8 Se 4.21

Summary:
energy: -0.73760 Ha/atom
energy relative to the elements, uncorrected: 1.01 eV/atom



The following is a meta-GGA SCAN calculation of a PBEsol-optimized structure of CeNi2Ge2, from the Alexandria database.

Unit cell a=5.6021 b=5.6021 c=5.6021 alpha=137.34 beta=137.34 gamma=61.91
Closest atoms and distances in Å follow each position.
Sites, in units of the cell vectors:
1 Ce 0.0000 0.0000 0.0000  8 Ge 3.14, 8 Ni 3.15
2 Ni 0.2500 0.7500 0.5000  4 Ge 2.34
3 Ni 0.7500 0.2500 0.5000  4 Ge 2.34
4 Ge 0.3700 0.3700 0.0000  4 Ni 2.34, 1 Ge 2.50
5 Ge 0.6300 0.6300 0.0000  4 Ni 2.34, 1 Ge 2.50

Summary:
energy of formation from the pure elements: -0.734 eV/atom
energy: -0.87284 Ha/atom



The following is a meta-GGA SCAN calculation of a PBEsol-optimized structure of TcMo3, from the Alexandria database.

Unit cell a=2.7019 b=4.3798 c=5.1461 alpha=90.00 beta=100.26 gamma=90.00
Closest atoms and distances in Å follow each position.
Sites, in units of the cell vectors:
1 Tc 0.0000 0.0000 0.0000  6 Mo 2.68-2.69, 2 Tc 2.70
2 Mo 0.2573 0.5000 0.7504  6 Mo 2.67-2.70, 2 Tc 2.69
3 Mo 0.5000 0.0000 0.5000  6 Mo 2.68-2.70, 2 Tc 2.68
4 Mo 0.7427 0.5000 0.2496  6 Mo 2.67-2.70, 2 Tc 2.69

Summary:
energy of formation from the pure elements: 0.033 eV/atom
energy above the most stable polymorph in this dataset: 14 meV per atom
energy: -1.28241 Ha/atom



The following is a meta-GGA SCAN calculation of a PBEsol-optimized structure of Ca3HW, from the Alexandria database.

Unit cell a=5.4222 b=5.4222 c=5.4222 alpha=90.00 beta=90.00 gamma=90.00
Closest atoms and distances in Å follow each position.
Sites, in units of the cell vectors:
1 Ca 0.0000 0.0000 0.5000  2 W 2.71
2 Ca 0.0000 0.5000 0.0000  2 W 2.71
3 Ca 0.5000 0.0000 0.0000  2 W 2.71
4 H 0.5000 0.5000 0.5000  12 Ca 3.83
5 W 0.0000 0.0000 0.0000  6 Ca 2.71

Summary:
energy above the most stable polymorph in this dataset: 764 meV per atom
energy: -0.69899 Ha/atom



The following is a meta-GGA SCAN calculation of a PBEsol-optimized structure of CuW2Au, from the Alexandria database.

Unit cell a=4.4162 b=4.4162 c=4.4162 alpha=60.00 beta=60.00 gamma=60.00
Closest atoms and distances in Å follow each position.
Sites, in units of the cell vectors:
1 Cu 0.0000 0.0000 0.0000  4 W 2.70, 4 Au 2.70
2 W 0.5000 0.5000 0.5000  4 W 2.70, 4 Au 2.70
3 W 0.7500 0.7500 0.7500  4 W 2.70, 4 Cu 2.70
4 Au 0.2500 0.2500 0.2500  4 W 2.70, 4 Cu 2.70

Summary:
energy of formation from the pure elements: 0.523 eV/atom
energy above the most stable polymorph in this dataset: 306 meV per atom
energy: -2.03627 Ha/atom



The following is a meta-GGA SCAN calculation of a PBEsol-optimized structure of RbBiTe2N, from the Alexandria database.

Unit cell a=6.1145 b=6.1145 c=4.7979 alpha=90.00 beta=90.00 gamma=90.00
Closest atoms and distances in Å follow each position.
Sites, in units of the cell vectors:
1 Rb 0.0000 0.0000 0.0000  2 N 2.40
2 Bi 0.5000 0.5000 0.5000  8 Te 3.89, 4 N 4.32
3 Te 0.0000 0.5000 0.0000  2 Rb 3.06
4 Te 0.5000 0.0000 0.0000  2 Rb 3.06
5 N 0.0000 0.0000 0.5000  2 Rb 2.40

Summary:
energy: -1.29321 Ha/atom
energy relative to the elements, uncorrected: 1.43 eV/atom



The following is a meta-GGA SCAN calculation of a PBEsol-optimized structure of RbTlI2O, from the Alexandria database.

Unit cell a=6.6303 b=6.6303 c=4.9360 alpha=90.00 beta=90.00 gamma=90.00
Closest atoms and distances in Å follow each position.
Sites, in units of the cell vectors:
1 Rb 0.0000 0.0000 0.0000  2 O 2.47
2 Tl 0.5000 0.5000 0.5000  8 I 4.13
3 I 0.0000 0.5000 0.0000  2 Rb 3.32
4 I 0.5000 0.0000 0.0000  2 Rb 3.32
5 O 0.0000 0.0000 0.5000  2 Rb 2.47

Summary:
energy: -1.27646 Ha/atom
energy relative to the elements, uncorrected: -0.17 eV/atom



The following is a meta-GGA SCAN calculation of a PBEsol-optimized structure of TmSiIr, from the Alexandria database.

Unit cell a=6.6899 b=4.1561 c=7.3310 alpha=90.00 beta=90.00 gamma=90.00
Closest atoms and distances in Å follow each position.
Sites, in units of the cell vectors:
1 Tm 0.0033 0.2500 0.1872  5 Si 2.88-2.94, 6 Ir 2.96-3.20
2 Tm 0.4967 0.7500 0.6872  5 Si 2.88-2.94, 6 Ir 2.96-3.20
3 Tm 0.5033 0.2500 0.3128  5 Si 2.88-2.94, 6 Ir 2.96-3.20
4 Tm 0.9967 0.7500 0.8128  5 Si 2.88-2.94, 6 Ir 2.96-3.20
5 Si 0.2047 0.7500 0.3875  4 Ir 2.45-2.53
6 Si 0.2953 0.2500 0.8875  4 Ir 2.45-2.53
7 Si 0.7047 0.7500 0.1125  4 Ir 2.45-2.53
8 Si 0.7953 0.2500 0.6125  4 Ir 2.45-2.53
9 Ir 0.1582 0.2500 0.5660  4 Si 2.45-2.53
10 Ir 0.3418 0.7500 0.0660  4 Si 2.45-2.53
11 Ir 0.6582 0.2500 0.9340  4 Si 2.45-2.53
12 Ir 0.8418 0.7500 0.4340  4 Si 2.45-2.53

Summary:
energy: -1.67472 Ha/atom
energy relative to the elements, uncorrected: -1.26 eV/atom



The following is a meta-GGA SCAN calculation of a PBEsol-optimized structure of Li2TlGa, from the Alexandria database.

Unit cell a=4.6059 b=4.6059 c=4.6059 alpha=60.00 beta=60.00 gamma=60.00
Closest atoms and distances in Å follow each position.
Sites, in units of the cell vectors:
1 Li 0.2500 0.2500 0.2500  4 Tl 2.82, 4 Ga 2.82
2 Li 0.7500 0.7500 0.7500  4 Tl 2.82, 4 Ga 2.82
3 Tl 0.0000 0.0000 0.0000  8 Li 2.82
4 Ga 0.5000 0.5000 0.5000  8 Li 2.82

Summary:
energy of formation from the pure elements: -0.298 eV/atom
energy above the most stable polymorph in this dataset: 0 meV per atom
energy: -0.86983 Ha/atom



The following is a meta-GGA SCAN calculation of a PBEsol-optimized structure of KLi2In2, from the Alexandria database.

Unit cell a=8.8299 b=8.8299 c=3.1414 alpha=90.00 beta=90.00 gamma=90.00
Closest atoms and distances in Å follow each position.
Sites, in units of the cell vectors:
1 K 0.0000 0.0000 0.0000  2 K 3.14
2 K 0.5000 0.5000 0.0000  2 K 3.14
3 Li 0.1738 0.3262 0.5000  6 In 3.04-3.06, 2 Li 3.14
4 Li 0.3262 0.8262 0.5000  6 In 3.04-3.06, 2 Li 3.14
5 Li 0.6738 0.1738 0.5000  6 In 3.04-3.06, 2 Li 3.14
6 Li 0.8262 0.6738 0.5000  6 In 3.04-3.06, 2 Li 3.14
7 In 0.1177 0.6177 0.0000  3 In 2.94-3.14, 6 Li 3.04-3.06
8 In 0.3823 0.1177 0.0000  3 In 2.94-3.14, 6 Li 3.04-3.06
9 In 0.6177 0.8823 0.0000  3 In 2.94-3.14, 6 Li 3.04-3.06
10 In 0.8823 0.3823 0.0000  3 In 2.94-3.14, 6 Li 3.04-3.06

Summary:
energy of formation from the pure elements: -0.245 eV/atom
energy: -0.59611 Ha/atom



The highest energy belongs to which entry? KLi2In2



Among the records above, which one has the lowest energy? CuW2Au



energy of number 11 (Li2TlGa)? -0.86983 Ha/atom



The highest energy belongs to which entry? KLi2In2